one.
Pm2Er3Tl | PBE-GGA | optimized geometry

Output
mass density = 9.1 g/cm³

a b c (Å): 4.912 4.860 7.982
angles (deg): 107.72 90.00 90.00
Fractional positions:
Er: 0.500 0.500 0.000
Er: 0.500 0.166 0.333
Er: 0.500 0.834 0.667
Pm: 0.000 0.338 0.676
Tl: 0.000 0.000 0.000
Pm: 0.000 0.662 0.324

---

two.
Pm2Er3Tl | PBE-GGA | optimized geometry

Output
mass density = 8.5 g/cm³

a b c (Å): 3.451 6.436 9.468
angles (deg): 109.87 100.50 90.00
Fractional positions:
Tl: 0.500 0.336 0.000
Er: 0.000 0.920 0.000
Er: 0.635 0.760 0.269
Er: 0.365 0.490 0.731
Pm: 0.690 0.309 0.381
Pm: 0.310 0.928 0.619

---

Energies, relative to the best one, in eV/atom: one 0.000; two 0.211.